1.
This record from the Alexandria database describes an optimized crystal structure of RbGa2Mo. The functional is GGA-PBE.

Computed properties:
ΔH_f (0 K) = 0.941 eV/atom
energy relative to the lowest polymorph listed for this composition = 268.6 meV per atom

Cell lengths 7.2184, 7.2184, 7.2184 Å; angles 90.00, 90.00, 90.00 degrees
With the nearest neighbours (Å) after each atom.
Space group Fm-3m (No. 225)
Inequivalent atoms, fractional coordinates:
Rb 0.0000 0.0000 0.0000 [4 per cell]  8 Ga 3.13
Ga 0.2500 0.2500 0.2500 [8 per cell]  4 Mo 3.13, 4 Rb 3.13
Mo 0.0000 0.0000 0.5000 [4 per cell]  8 Ga 3.13



2.
This record from the Alexandria database describes an optimized crystal structure of RbGaSi2Mo. The functional is GGA-PBE.

Computed properties:
formation energy (no corrections) = 0.811 eV/atom

Cell lengths 4.8192, 4.8192, 5.8439 Å; angles 90.00, 90.00, 90.00 degrees
With the nearest neighbours (Å) after each atom.
Space group P4/mmm (No. 123)
Inequivalent atoms, fractional coordinates:
Rb 0.0000 0.0000 0.0000 [1 per cell]  2 Mo 2.92
Ga 0.5000 0.5000 0.0000 [1 per cell]  4 Rb 3.41, 8 Si 3.79
Si 0.0000 0.5000 0.5000 [2 per cell]  2 Mo 2.41
Mo 0.0000 0.0000 0.5000 [1 per cell]  4 Si 2.41



3.
This record from the Alexandria database describes an optimized crystal structure of Rb2TlGaMo. The functional is GGA-PBE.

Computed properties:
ΔH_f (0 K) = 1.100 eV/atom

Cell lengths 6.7764, 6.7764, 5.4758 Å; angles 90.00, 90.00, 90.00 degrees
With the nearest neighbours (Å) after each atom.
Space group P4/mmm (No. 123)
Inequivalent atoms, fractional coordinates:
Rb 0.0000 0.5000 0.0000 [2 per cell]  2 Mo 3.39
Tl 0.0000 0.0000 0.5000 [1 per cell]  2 Mo 2.74
Ga 0.5000 0.5000 0.5000 [1 per cell]  8 Rb 4.36, 4 Tl 4.79
Mo 0.0000 0.0000 0.0000 [1 per cell]  2 Tl 2.74



4.
This record from the Alexandria database describes an optimized crystal structure of RbVGaMo2. The functional is GGA-PBE.

Computed properties:
ΔH_f (0 K) = 1.880 eV/atom

Cell lengths 4.9492, 4.9492, 4.7751 Å; angles 90.00, 90.00, 90.00 degrees
With the nearest neighbours (Å) after each atom.
Space group P4/mmm (No. 123)
Inequivalent atoms, fractional coordinates:
Rb 0.0000 0.0000 0.0000 [1 per cell]  8 Mo 3.44, 4 V 3.50
V 0.5000 0.5000 0.0000 [1 per cell]  2 Ga 2.39
Ga 0.5000 0.5000 0.5000 [1 per cell]  2 V 2.39, 4 Mo 2.47
Mo 0.0000 0.5000 0.5000 [2 per cell]  2 Ga 2.47



5.
This record from the Alexandria database describes an optimized crystal structure of Ga2Re2Mo. The functional is GGA-PBE.

Computed properties:
ΔH_f (0 K) = 0.318 eV/atom

Cell lengths 6.9245, 6.9245, 3.1392 Å; angles 90.00, 90.00, 90.00 degrees
With the nearest neighbours (Å) after each atom.
Space group P4/mbm (No. 127)
Inequivalent atoms, fractional coordinates:
Ga 0.1407 0.3593 0.0000 [4 per cell]  6 Re 2.53-2.59, 2 Mo 2.67, 1 Ga 2.76
Re 0.1561 0.6561 0.5000 [4 per cell]  6 Ga 2.53-2.59
Mo 0.0000 0.0000 0.0000 [2 per cell]  4 Ga 2.67



6.
This record from the Alexandria database describes an optimized crystal structure of GaRe2Mo. The functional is GGA-PBE.

Computed properties:
ΔH_f (0 K) = 0.443 eV/atom
energy relative to the lowest polymorph listed for this composition = 299.9 meV per atom

Cell lengths 4.3128, 4.3128, 12.5380 Å; angles 90.00, 90.00, 120.00 degrees
With the nearest neighbours (Å) after each atom.
Space group R3m (No. 160, hexagonal axes)
Inequivalent atoms, fractional coordinates:
Ga 0.0000 0.0000 0.0000 [3 per cell]  6 Re 2.56-2.73, 1 Mo 2.62
Re 0.0000 0.0000 0.3821 [3 per cell]  1 Re 2.44, 3 Ga 2.56, 3 Mo 2.66
Re 0.0000 0.0000 0.5765 [3 per cell]  1 Re 2.44, 1 Mo 2.69
Mo 0.0000 0.0000 0.7911 [3 per cell]  1 Ga 2.62, 7 Re 2.66-2.90



7.
This record from the Alexandria database describes an optimized crystal structure of GaReMo2. The functional is GGA-PBE.

Computed properties:
ΔH_f (0 K) = 0.723 eV/atom
energy relative to the lowest polymorph listed for this composition = 668.8 meV per atom

Cell lengths 7.2457, 7.2457, 5.2952 Å; angles 90.00, 90.00, 90.00 degrees
With the nearest neighbours (Å) after each atom.
Space group I-42d (No. 122)
Inequivalent atoms, fractional coordinates:
Ga 0.0000 0.0000 0.0000 [4 per cell]  2 Re 2.65, 4 Mo 2.81
Re 0.0000 0.0000 0.5000 [4 per cell]  4 Mo 2.50, 2 Ga 2.65
Mo 0.2186 0.2500 0.6250 [8 per cell]  2 Re 2.50, 2 Mo 2.69



8.
This record from the Alexandria database describes an optimized crystal structure of GaRe3Mo. The functional is GGA-PBE.

Computed properties:
ΔH_f (0 K) = 1.840 eV/atom
energy relative to the lowest polymorph listed for this composition = 0.0 meV per atom

Cell lengths 4.4549, 4.4549, 4.4549 Å; angles 90.00, 90.00, 90.00 degrees
With the nearest neighbours (Å) after each atom.
Space group Pm-3m (No. 221)
Inequivalent atoms, fractional coordinates:
Ga 0.0000 0.0000 0.0000 [1 per cell]  6 Re 2.23
Re 0.0000 0.0000 0.5000 [3 per cell]  2 Ga 2.23
Mo 0.5000 0.5000 0.5000 [1 per cell]  12 Re 3.15



9.
This record from the Alexandria database describes an optimized crystal structure of GaRe2Mo. The functional is GGA-PBE.

Computed properties:
ΔH_f (0 K) = 0.894 eV/atom
energy relative to the lowest polymorph listed for this composition = 750.9 meV per atom

Cell lengths 7.1974, 7.1974, 5.2448 Å; angles 90.00, 90.00, 90.00 degrees
With the nearest neighbours (Å) after each atom.
Space group I-42d (No. 122)
Inequivalent atoms, fractional coordinates:
Ga 0.0000 0.0000 0.0000 [4 per cell]  2 Mo 2.62, 4 Re 2.73
Re 0.2293 0.7500 0.6250 [8 per cell]  2 Mo 2.53, 2 Re 2.64, 2 Ga 2.73
Mo 0.0000 0.0000 0.5000 [4 per cell]  4 Re 2.53, 2 Ga 2.62



10.
This record from the Alexandria database describes an optimized crystal structure of GaRe3Mo. The functional is GGA-PBE.

Computed properties:
ΔH_f (0 K) = 2.214 eV/atom
energy relative to the lowest polymorph listed for this composition = 373.9 meV per atom

Cell lengths 4.7262, 4.7262, 4.7262 Å; angles 90.00, 90.00, 90.00 degrees
With the nearest neighbours (Å) after each atom.
Space group Pm-3m (No. 221)
Inequivalent atoms, fractional coordinates:
Ga 0.0000 0.0000 0.0000 [1 per cell]  12 Re 3.34
Re 0.0000 0.5000 0.5000 [3 per cell]  2 Mo 2.36
Mo 0.5000 0.5000 0.5000 [1 per cell]  6 Re 2.36



11.
This record from the Alexandria database describes an optimized crystal structure of GaReMo2. The functional is GGA-PBE.

Computed properties:
ΔH_f (0 K) = 0.054 eV/atom
energy relative to the lowest polymorph listed for this composition = 0.0 meV per atom

Cell lengths 2.8382, 2.8382, 7.7075 Å; angles 90.00, 90.00, 90.00 degrees
With the nearest neighbours (Å) after each atom.
Space group P4/mmm (No. 123)
Inequivalent atoms, fractional coordinates:
Ga 0.0000 0.0000 0.0000 [1 per cell]  8 Mo 2.82, 4 Ga 2.84
Re 0.0000 0.0000 0.5000 [1 per cell]  8 Mo 2.75, 4 Re 2.84
Mo 0.5000 0.5000 0.2569 [2 per cell]  4 Re 2.75, 4 Ga 2.82, 4 Mo 2.84



12.
This record from the Alexandria database describes an optimized crystal structure of GaRe2Mo. The functional is GGA-PBE.

Computed properties:
ΔH_f (0 K) = 0.570 eV/atom
energy relative to the lowest polymorph listed for this composition = 427.2 meV per atom

Cell lengths 2.8197, 2.8197, 27.6086 Å; angles 90.00, 90.00, 120.00 degrees
With the nearest neighbours (Å) after each atom.
Space group R-3m (No. 166, hexagonal axes)
Inequivalent atoms, fractional coordinates:
Ga 0.0000 0.0000 0.0000 [3 per cell]  6 Re 2.72, 6 Ga 2.82
Re 0.0000 0.0000 0.4120 [6 per cell]  1 Mo 2.43, 3 Ga 2.72
Mo 0.0000 0.0000 0.5000 [3 per cell]  2 Re 2.43



13.
This record from the Alexandria database describes an optimized crystal structure of GaReMo2. The functional is GGA-PBE.

Computed properties:
ΔH_f (0 K) = 0.114 eV/atom
energy relative to the lowest polymorph listed for this composition = 60.1 meV per atom

Cell lengths 6.2671, 6.2671, 6.2671 Å; angles 90.00, 90.00, 90.00 degrees
With the nearest neighbours (Å) after each atom.
Space group Fm-3m (No. 225)
Inequivalent atoms, fractional coordinates:
Ga 0.0000 0.0000 0.0000 [4 per cell]  8 Mo 2.71
Re 0.0000 0.0000 0.5000 [4 per cell]  8 Mo 2.71
Mo 0.2500 0.2500 0.2500 [8 per cell]  4 Re 2.71, 4 Ga 2.71



14.
This record from the Alexandria database describes an optimized crystal structure of GaRe2Mo. The functional is GGA-PBE.

Computed properties:
ΔH_f (0 K) = 0.143 eV/atom
energy relative to the lowest polymorph listed for this composition = 0.0 meV per atom

Cell lengths 6.2297, 6.2297, 6.2297 Å; angles 90.00, 90.00, 90.00 degrees
With the nearest neighbours (Å) after each atom.
Space group Fm-3m (No. 225)
Inequivalent atoms, fractional coordinates:
Ga 0.0000 0.0000 0.0000 [4 per cell]  8 Re 2.70
Re 0.2500 0.2500 0.2500 [8 per cell]  4 Mo 2.70, 4 Ga 2.70
Mo 0.0000 0.0000 0.5000 [4 per cell]  8 Re 2.70